Crystalline ScAlCo at its relaxed geometry, computed with PBE.

Structure (POSCAR):
```
ScAlCo
1.0
-1.970 -1.597 3.394
4.149 -0.658 -0.545
0.617 2.586 1.575
Sc Co Al
1 1 1
Direct
0.333 0.667 0.666
0.667 0.333 0.167
0.000 0.000 0.167
```

Magnetic moment (μB per formula unit): 0.00
Calculated total energy (eV for the cell shown): -18.3
E_form (eV/atom): -0.36
Space-group type: P-6m2 (187)



Crystalline Y5ThAg4 at its relaxed geometry, computed with PBE.

Structure (POSCAR):
```
Y5ThAg4
1.0
-2.302 -2.204 1.728
0.952 -2.720 -2.200
14.232 -5.094 12.462
Y Th Ag
5 1 4
Direct
0.500 0.500 0.124
0.500 0.500 0.311
0.500 0.500 0.500
0.500 0.500 0.689
0.500 0.500 0.876
0.000 0.000 0.000
0.000 0.000 0.219
0.000 0.000 0.406
0.000 0.000 0.594
0.000 0.000 0.781
```

Magnetic moment (μB per formula unit): 0.00
Calculated total energy (eV for the cell shown): -53.7
E_form (eV/atom): -0.26
Space-group type: P4/mmm (123)



Crystalline Na3PuNp2Te6 at its relaxed geometry, computed with PBE.

Structure (POSCAR):
```
Na3PuNp2Te6
1.0
7.775 -0.001 0.000
-3.887 6.734 0.000
-1.297 -2.245 7.489
Na Pu Np Te
3 1 2 6
Direct
0.166 0.834 0.500
0.834 0.166 0.500
0.500 0.500 0.500
0.000 0.000 0.000
0.333 0.667 0.000
0.667 0.333 0.000
0.922 0.586 0.766
0.742 0.742 0.234
0.078 0.414 0.234
0.586 0.922 0.766
0.258 0.258 0.766
0.414 0.078 0.234
```

Magnetic moment (μB per formula unit): 13.00
Calculated total energy (eV for the cell shown): -73.8
Uncorrected formation energy (eV per formula unit): -10.73
Space-group type: C2/m (12)



Crystalline TbSc2Al6 at its relaxed geometry, computed with PBE.

Structure (POSCAR):
```
TbSc2Al6
1.0
4.255 0.000 0.000
2.128 7.260 1.456
2.128 2.860 6.830
Tb Sc Al
1 2 6
Direct
0.000 0.000 0.000
0.880 0.620 0.620
0.120 0.380 0.380
0.689 0.009 0.613
0.311 0.991 0.387
0.311 0.387 0.991
0.500 0.684 0.316
0.500 0.316 0.684
0.689 0.613 0.009
```

E above lowest polymorph (eV per atom): 0.1857
Magnetic moment (μB per formula unit): 0.00
Calculated total energy (eV for the cell shown): -42.2
E_form (eV/atom): -0.28
Space-group type: Immm (71)



Crystalline TlFe2Sn2 at its relaxed geometry, computed with PBE.

Structure (POSCAR):
```
TlFe2Sn2
1.0
7.571 0.000 0.000
0.000 7.571 0.000
0.000 0.000 3.451
Tl Sn Fe
2 4 4
Direct
0.000 0.000 0.000
0.500 0.500 0.000
0.169 0.669 0.500
0.669 0.831 0.500
0.831 0.331 0.500
0.331 0.169 0.500
0.385 0.885 0.000
0.885 0.615 0.000
0.615 0.115 0.000
0.115 0.385 0.000
```

E above lowest polymorph (eV per atom): 0.0909
Magnetic moment (μB per formula unit): 4.59
Calculated total energy (eV for the cell shown): -51.5
E_form (eV/atom): 0.31
Space-group type: P4/mbm (127)



Crystalline TbSm3Ho3 at its relaxed geometry, computed with PBE.

Structure (POSCAR):
```
TbSm3Ho3
1.0
5.718 0.000 0.000
0.000 9.603 -0.003
0.000 -4.801 8.316
Tb Sm Ho
2 6 6
Direct
0.750 0.333 0.667
0.250 0.667 0.333
0.750 0.759 0.808
0.750 0.049 0.241
0.750 0.192 0.951
0.250 0.241 0.192
0.250 0.951 0.759
0.250 0.808 0.049
0.250 0.522 0.617
0.250 0.095 0.478
0.250 0.382 0.905
0.750 0.478 0.383
0.750 0.905 0.522
0.750 0.618 0.095
```

E above lowest polymorph (eV per atom): 0.0000
Magnetic moment (μB per formula unit): 0.00
Calculated total energy (eV for the cell shown): -64.8
E_form (eV/atom): 0.02
Space-group type: P6_3/m (176)



Crystalline Cr2Cu3Pd8 at its relaxed geometry, computed with PBE.

Structure (POSCAR):
```
Cr2Cu3Pd8
1.0
5.063 0.000 0.451
0.000 6.986 0.000
-1.106 -3.493 5.567
Cr Cu Pd
2 3 8
Direct
0.276 0.203 0.405
0.724 0.797 0.595
0.500 0.000 0.000
0.000 0.171 0.000
0.000 0.829 0.000
0.901 0.602 0.204
0.099 0.398 0.796
0.788 0.192 0.383
0.212 0.808 0.617
0.572 0.573 0.763
0.572 0.190 0.763
0.428 0.810 0.237
0.428 0.427 0.237
```

Magnetic moment (μB per formula unit): 6.09
Calculated total energy (eV for the cell shown): -71.4
E_form (eV/atom): 0.13
Space-group type: C2/m (12)



Crystalline Re3TeP at its relaxed geometry, computed with PBE.

Structure (POSCAR):
```
Re3TeP
1.0
4.837 0.000 0.000
0.000 4.837 0.000
0.000 0.000 4.837
Re Te P
3 1 1
Direct
0.000 0.500 0.000
0.000 0.000 0.500
0.500 0.000 0.000
0.000 0.000 0.000
0.500 0.500 0.500
```

E above lowest polymorph (eV per atom): 1.7686
Magnetic moment (μB per formula unit): 1.88
Calculated total energy (eV for the cell shown): -31.6
Uncorrected formation energy (eV per formula unit): 14.26
Space-group type: Pm-3m (221)



In g/cm³, the mass density values for the records above are, in order, 4.5 7.1 6.6 3.5 9.3 8.0 9.5 10.5.